(1)
Density functional theory data (PBE-GGA) for a geometry-optimized MnVHIr2 structure.

POSCAR file:
```
MnVHIr2
1.0
3.867 0.000 0.000
0.000 3.867 0.000
0.000 0.000 3.832
H Ir Mn V
1 2 1 1
Cartesian
0.000 0.000 0.000
0.000 1.934 0.000
1.934 0.000 0.000
1.934 1.934 1.916
0.000 0.000 1.916
```

Summary:
- crystal system = tetragonal
- magnetic moment (Bohr magnetons per cell) = 1.27
- Fermi-level density of states (states/eV per cell) = 3.2
- polymorph energy (0 for the lowest one) (meV per atom) = 21.4



(2)
Density functional theory data (PBE-GGA) for a geometry-optimized NaSr2Hg6Pd structure.

POSCAR file:
```
NaSr2Hg6Pd
1.0
7.650 0.000 0.000
0.000 7.650 0.000
3.825 3.825 5.410
Na Sr Hg Pd
1 2 6 1
Cartesian
3.825 3.825 0.000
3.826 7.650 2.705
7.651 3.825 2.705
1.886 5.764 0.000
5.765 5.764 0.000
3.825 3.825 2.742
5.764 1.886 0.000
1.886 1.886 0.000
7.651 7.650 2.667
0.000 0.000 0.000
```

Summary:
- crystal system = cubic
- energy of formation (eV/atom) = -0.147
- magnetic moment (Bohr magnetons per cell) = 0.00
- Fermi-level density of states (states/eV per cell) = 7.3



(3)
Density functional theory data (PBE-GGA) for a geometry-optimized AcY4Ho6 structure.

POSCAR file:
```
AcY4Ho6
1.0
-2.748 3.299 3.848
-2.062 -0.608 -5.272
-13.658 -20.342 7.687
Ac Y Ho
2 8 12
Cartesian
-6.978 -2.772 1.713
-11.491 -14.878 4.550
-11.097 -8.658 3.818
-4.982 -1.471 -2.297
-7.372 -8.992 2.445
-13.486 -16.179 8.560
-16.794 -17.144 7.024
-1.674 -0.506 -0.761
-9.984 -10.963 6.589
-8.484 -6.687 -0.326
-1.374 1.650 1.924
-8.203 -8.521 5.767
-5.412 -6.201 1.451
-13.056 -11.449 4.812
-14.976 -14.309 5.893
-3.492 -3.341 0.370
-9.041 -5.830 2.862
-9.428 -11.820 3.401
-13.538 -17.941 5.714
-4.931 0.291 0.549
-6.737 -4.078 -1.316
-11.731 -13.572 7.578
```

Summary:
- crystal system = orthorhombic
- energy of formation (eV/atom) = 0.139
- magnetic moment (Bohr magnetons per cell) = 0.00
- Fermi-level density of states (states/eV per cell) = 40.4
- polymorph energy (0 for the lowest one) (meV per atom) = 0.0



(4)
Density functional theory data (PBE-GGA) for a geometry-optimized ZnRuW2 structure.

POSCAR file:
```
ZnRuW2
1.0
-1.377 -4.178 0.318
2.529 -3.009 2.000
-1.198 -1.635 3.917
Ru W Zn
1 2 1
Cartesian
-0.023 -4.411 3.118
0.000 0.000 0.000
-0.034 -6.616 4.677
-0.011 -2.205 1.559
```

Summary:
- crystal system = cubic
- energy of formation (eV/atom) = 0.240
- magnetic moment (Bohr magnetons per cell) = 0.00
- Fermi-level density of states (states/eV per cell) = 3.9